Density functional theory data (PBE) for a relaxed La2TlCu2Pd5 crystal.

```
La2TlCu2Pd5
1.0
-3.2625 -2.0758 -0.9368
-2.0772 -1.0150 9.4837
-5.1869 8.2655 -0.2515
Pd Tl La Cu
10 2 4 4
Direct
0.5000 0.5000 0.0000
0.5000 0.0000 0.5000
0.5000 0.2876 0.5677
0.5000 0.2124 0.0677
0.5000 0.5677 0.7124
0.5000 0.0677 0.7876
0.5000 0.7124 0.4323
0.5000 0.9323 0.2124
0.5000 0.7876 0.9323
0.5000 0.4323 0.2876
0.0000 0.5000 0.5000
0.0000 0.0000 0.0000
0.0000 0.1774 0.3226
0.0000 0.3226 0.8226
0.0000 0.6774 0.1774
0.0000 0.8226 0.6774
0.0000 0.8812 0.3812
0.0000 0.1188 0.6188
0.0000 0.6188 0.8812
0.0000 0.3812 0.1188
```

Computed properties:
Its formation energy from the elements is -0.585 eV/atom. As for the density of states at the Fermi level: 7.6 states/eV/cell.